Record 1
The following is a DFT calculation (GGA-PBE) of a geometry-optimized TeIrOs2 structure.

abc: 8.8779 8.8779 8.8779
angles: 19.06 19.06 19.06
Atoms (fractional coordinates):
Te  0.0000  0.0000  0.0000
Ir  0.5000  0.5000  0.5000
Os  0.2482  0.2482  0.2482
Os  0.7518  0.7518  0.7518

## Properties
ΔE_f (raw): 805 meV/atom
total magnetic moment: 0.000 μB/atom
crystal system: trigonal
space-group type: R-3m (166)

Record 2
The following is a DFT calculation (GGA-PBE) of a geometry-optimized TeIrOs2 structure.

abc: 6.0580 6.0580 6.0580
angles: 152.80 136.62 51.96
Atoms (fractional coordinates):
Te  0.0000  0.0000  0.0000
Ir  0.3278  0.8278  0.5000
Os  0.5695  0.5695  0.0000
Os  0.7649  0.2649  0.5000

## Properties
ΔE_f (raw): 791 meV/atom
total magnetic moment: 0.000 μB/atom
crystal system: orthorhombic
space-group type: Imm2 (44)

Record 3
The following is a DFT calculation (GGA-PBE) of a geometry-optimized TeIr2Os structure.

abc: 4.8472 4.8472 4.8679
angles: 97.90 97.90 35.59
Atoms (fractional coordinates):
Te  0.0000  0.0000  0.0000
Ir  0.2378  0.2378  0.7255
Ir  0.7622  0.7622  0.2745
Os  0.5000  0.5000  0.5000

## Properties
ΔE_f (raw): 557 meV/atom
total magnetic moment: 0.000 μB/atom
crystal system: monoclinic
space-group type: C2/m (12)